SCAN LaZn4Te, single point on PBEsol structure; symmetry = F-43m, No. 216; total magnetization = 0.000 μB/atom; crystal system = cubic; total energy = -135.4 eV per cell
1.0
5.5466 0.0000 0.0000
2.7733 4.8035 0.0000
2.7733 1.6012 4.5287
Zn Te La
4 1 1
Cartesian
5.5466 3.2023 3.9774
4.1478 2.3948 1.6933
6.9453 2.3948 1.6933
5.5466 4.8174 1.6933
0.0000 0.0000 0.0000
8.3198 4.8035 3.3966


SCAN LaZnTe, single point on PBEsol structure; symmetry = F-43m, No. 216; total magnetization = 0.000 μB/atom; crystal system = cubic; total energy = -95.8 eV per cell
1.0
-0.3400 -0.5612 4.8361
4.0461 -0.3561 2.7057
1.2747 3.6520 2.9760
Zn La Te
1 1 1
Cartesian
1.2452 0.6837 2.6294
0.0000 0.0000 0.0000
2.4904 1.3674 5.2589


The highest total energy belongs to which entry? LaZnTe


Which value of total energy does entry 2 give? -95.8 eV per cell


Which value of total energy does entry 1 give? -135.4 eV per cell